# TeH2Pd9Pb3 PBE optimized geometry
# **Magnetic moment**: 0.000 μB per cell
# **Calculated total energy**: -70.88 eV per cell
# **D(E_F)**: 6.6 states/eV per cell
data_TeH2Pd9Pb3
_chemical_formula_sum 'Te1 H2 Pd9 Pb3'
_space_group_name_H-M_alt 'P -3 m 1'
_space_group_IT_number 164
_space_group_name_Hall '-P 3 2"'
_cell_length_a 5.8190
_cell_length_b 5.8190
_cell_length_c 8.9479
_cell_angle_alpha 90.00
_cell_angle_beta 90.00
_cell_angle_gamma 120.00
loop_
_atom_site_label
_atom_site_type_symbol
_atom_site_fract_x
_atom_site_fract_y
_atom_site_fract_z
Te1 Te 0.0000 0.0000 0.0000
H1 H 0.3333 0.6667 0.6329
Pd1 Pd 0.0000 0.5000 0.5000
Pd2 Pd 0.1690 0.3379 0.7633
Pb1 Pb 0.0000 0.0000 0.5000
Pb2 Pb 0.3333 0.6667 0.2031